Record 1
Computed, not measured: an optimized crystal structure of MgAsSe2 at the PBE-GGA level of DFT.

a b c (Å): 3.9153 3.9153 5.6389
angles (deg): 90.00 90.00 90.00
Space group P4/mmm (No. 123)
Symmetry-distinct sites (fractional):
Mg 0.0000 0.0000 0.0000 [1 per cell]
As 0.5000 0.5000 0.5000 [1 per cell]
Se 0.0000 0.0000 0.5000 [1 per cell]
Se 0.5000 0.5000 0.0000 [1 per cell]

Polymorph energy (0 for the lowest one): 0 meV/atom
Formation energy from raw total energies: -0.5317 eV/atom
Magnetization: 0.000 μB/atom

=====

Record 2
Computed, not measured: an optimized crystal structure of MgAsSe2 at the PBE-GGA level of DFT.

a b c (Å): 5.8389 7.7458 3.8977
angles (deg): 90.00 90.00 90.00
Space group Cmmm (No. 65)
Symmetry-distinct sites (fractional):
Mg 0.0000 0.0000 0.0000 [2 per cell]
As 0.0000 0.5000 0.0000 [2 per cell]
Se 0.0000 0.2554 0.5000 [4 per cell]

Polymorph energy (0 for the lowest one): 190 meV/atom
Formation energy from raw total energies: -0.3420 eV/atom
Magnetization: 0.000 μB/atom

=====

Record 3
Computed, not measured: an optimized crystal structure of MgAs2Se at the PBE-GGA level of DFT.

a b c (Å): 5.1287 5.1287 6.1186
angles (deg): 90.00 90.00 90.00
Space group I-4m2 (No. 119)
Symmetry-distinct sites (fractional):
Mg 0.0000 0.0000 0.0000 [2 per cell]
As 0.0000 0.0000 0.5000 [2 per cell]
As 0.0000 0.5000 0.7500 [2 per cell]
Se 0.0000 0.5000 0.2500 [2 per cell]

Polymorph energy (0 for the lowest one): 473 meV/atom
Formation energy from raw total energies: 0.0561 eV/atom
Magnetization: 0.000 μB/atom

=====

Record 4
Computed, not measured: an optimized crystal structure of MgAs2Se at the PBE-GGA level of DFT.

a b c (Å): 4.0289 4.0289 5.3622
angles (deg): 90.00 90.00 90.00
Space group P4/mmm (No. 123)
Symmetry-distinct sites (fractional):
Mg 0.0000 0.0000 0.0000 [1 per cell]
As 0.5000 0.5000 0.2186 [2 per cell]
Se 0.0000 0.0000 0.5000 [1 per cell]

Polymorph energy (0 for the lowest one): 381 meV/atom
Formation energy from raw total energies: -0.0358 eV/atom
Magnetization: 0.000 μB/atom

=====

> What is the formation energy from raw total energies in the first record?

-0.5317 eV/atom